# 1
Material: SiSn2Pb
Method: DFT, PBE
State: optimized geometry

Values from the calculation:
formation energy without anion corrections = 18.9 kJ/mol of atoms
relative energy among the computed polymorphs = 1.3 kJ/mol of atoms
ρ = 7.26 g/cm³
total magnetization = 0.000 μB/atom
uncorrected energy = -16.4 eV per formula unit

Lattice parameters (Å, degrees): 3.9702 3.9702 23.7479 90.00 90.00 120.00
With the nearest neighbours (Å) after each atom.
Space group R-3m (No. 166, hexagonal axes)
One atom of each set of equivalent atoms:
Si1 0.0000 0.0000 0.0000  6 Sn 2.77
Sn1 0.0000 0.0000 0.2678  3 Si 2.77
Pb1 0.0000 0.0000 0.5000  6 Sn 3.32

***

# 2
Material: SiSn2Pb
Method: DFT, PBE
State: optimized geometry

Values from the calculation:
formation energy without anion corrections = 35.5 kJ/mol of atoms
relative energy among the computed polymorphs = 18.0 kJ/mol of atoms
ρ = 7.55 g/cm³
total magnetization = 0.000 μB/atom
uncorrected energy = -15.7 eV per formula unit

Lattice parameters (Å, degrees): 7.4651 7.4651 7.4651 90.00 90.00 90.00
With the nearest neighbours (Å) after each atom.
Space group Fm-3m (No. 225)
One atom of each set of equivalent atoms:
Si1 0.0000 0.0000 0.0000  8 Sn 3.23
Sn1 0.2500 0.2500 0.2500  4 Pb 3.23, 4 Si 3.23
Pb1 0.0000 0.0000 0.5000  8 Sn 3.23

***

# 3
Material: SiSnPb2
Method: DFT, PBE
State: optimized geometry

Values from the calculation:
formation energy without anion corrections = 34.9 kJ/mol of atoms
relative energy among the computed polymorphs = 4.4 kJ/mol of atoms
ρ = 8.58 g/cm³
total magnetization = 0.000 μB/atom
uncorrected energy = -15.4 eV per formula unit

Lattice parameters (Å, degrees): 7.5741 7.5741 7.5741 90.00 90.00 90.00
With the nearest neighbours (Å) after each atom.
Space group Fm-3m (No. 225)
One atom of each set of equivalent atoms:
Si1 0.0000 0.0000 0.0000  8 Pb 3.28
Sn1 0.0000 0.0000 0.5000  8 Pb 3.28
Pb1 0.2500 0.2500 0.2500  4 Sn 3.28, 4 Si 3.28

***

# 4
Material: Si3SnPb
Method: DFT, PBE
State: optimized geometry

Values from the calculation:
formation energy without anion corrections = 105.9 kJ/mol of atoms
relative energy among the computed polymorphs = 0.0 kJ/mol of atoms
ρ = 4.93 g/cm³
total magnetization = 0.000 μB/atom
uncorrected energy = -18.5 eV per formula unit

Lattice parameters (Å, degrees): 5.1683 5.1683 5.1683 90.00 90.00 90.00
With the nearest neighbours (Å) after each atom.
Space group Pm-3m (No. 221)
One atom of each set of equivalent atoms:
Si1 0.0000 0.0000 0.5000  2 Sn 2.58
Sn1 0.0000 0.0000 0.0000  6 Si 2.58
Pb1 0.5000 0.5000 0.5000  12 Si 3.65